[1]
# Pa2TiIrN5

An optimized crystal structure of Pa2TiIrN5 (PBE, Alexandria via LeMat-Bulk).

Cell: 6.634 6.634 10.235 Å, 90.00 90.00 151.23°
Element x y z (fractional)
Pa  0.103  0.897  0.500
Pa  0.149  0.851  0.126
Pa  0.851  0.149  0.626
Pa  0.897  0.103  0.000
Ti  0.203  0.797  0.834
Ti  0.797  0.203  0.334
Ir  0.471  0.529  0.273
Ir  0.529  0.471  0.773
N  0.059  0.941  0.899
N  0.276  0.724  0.480
N  0.319  0.681  0.193
N  0.365  0.635  0.816
N  0.485  0.515  0.586
N  0.515  0.485  0.086
N  0.635  0.365  0.316
N  0.681  0.319  0.693
N  0.724  0.276  0.980
N  0.941  0.059  0.399

Properties
As for the symmetry: Cmc2_1 (36).

***

[2]
# TmPa2IrN5

An optimized crystal structure of TmPa2IrN5 (PBE, Alexandria via LeMat-Bulk).

Cell: 6.865 6.865 10.370 Å, 90.00 90.00 151.69°
Element x y z (fractional)
Tm  0.200  0.800  0.500
Tm  0.800  0.200  0.000
Pa  0.107  0.893  0.180
Pa  0.144  0.856  0.796
Pa  0.856  0.144  0.296
Pa  0.893  0.107  0.680
Ir  0.476  0.524  0.948
Ir  0.524  0.476  0.448
N  0.044  0.956  0.575
N  0.279  0.721  0.168
N  0.327  0.673  0.849
N  0.369  0.631  0.492
N  0.482  0.518  0.265
N  0.518  0.482  0.765
N  0.631  0.369  0.992
N  0.673  0.327  0.349
N  0.721  0.279  0.668
N  0.956  0.044  0.075

Properties
As for the symmetry: Cmc2_1 (36).

***

[3]
# Y3Pa3IrN8

An optimized crystal structure of Y3Pa3IrN8 (PBE, Alexandria via LeMat-Bulk).

Cell: 6.867 6.867 6.867 Å, 59.19 59.19 59.19°
Element x y z (fractional)
Y  0.000  0.500  0.500
Y  0.500  0.000  0.500
Y  0.500  0.500  0.000
Pa  0.000  0.000  0.500
Pa  0.000  0.500  0.000
Pa  0.500  0.000  0.000
Ir  0.500  0.500  0.500
N  0.249  0.249  0.249
N  0.253  0.734  0.734
N  0.266  0.266  0.747
N  0.266  0.747  0.266
N  0.734  0.253  0.734
N  0.734  0.734  0.253
N  0.747  0.266  0.266
N  0.751  0.751  0.751

Properties
As for the symmetry: R-3m (166).

***

[4]
# IrPbN2

An optimized crystal structure of IrPbN2 (PBE, Alexandria via LeMat-Bulk).

Cell: 5.466 5.466 8.959 Å, 90.00 90.00 90.00°
Element x y z (fractional)
Ir  0.000  0.000  0.000
Ir  0.000  0.500  0.250
Ir  0.500  0.000  0.750
Ir  0.500  0.500  0.500
Pb  0.000  0.000  0.500
Pb  0.000  0.500  0.750
Pb  0.500  0.000  0.250
Pb  0.500  0.500  0.000
N  0.156  0.250  0.125
N  0.250  0.656  0.375
N  0.250  0.844  0.875
N  0.344  0.250  0.625
N  0.656  0.750  0.625
N  0.750  0.156  0.875
N  0.750  0.344  0.375
N  0.844  0.750  0.125

Properties
As for the symmetry: I-42d (122).

***

Number 1: calculated total energy -175.191 eV/cell. Number 2: calculated total energy -168.152 eV/cell. Number 3: calculated total energy -141.957 eV/cell. Number 4: calculated total energy -105.076 eV/cell.